Entry 1:
{"formula": "Rb2ZnGa7", "functional": "GGA-PBE", "state": "optimized geometry", "ef_ev_per_atom": -0.078, "final_energy_ev_per_atom": -2.517, "lattice_angstrom": [[4.5833, 0.0000, 0.0000], [0.0000, 4.5833, 0.0000], [0.0000, 0.0000, 11.2780]], "species": ["Ga", "Ga", "Ga", "Ga", "Ga", "Zn", "Rb", "Ga", "Rb", "Ga"], "fractional_positions": [[0.5000, 0.0000, 0.1277], [0.0000, 0.0000, 0.5000], [0.0000, 0.5000, 0.6303], [0.0000, 0.5000, 0.8723], [0.5000, 0.5000, 0.5000], [0.5000, 0.5000, 0.0000], [0.0000, 0.5000, 0.2495], [0.0000, 0.0000, 0.0000], [0.5000, 0.0000, 0.7505], [0.5000, 0.0000, 0.3697]]}

=====

Entry 2:
{"formula": "PmNd4Au4", "functional": "GGA-PBE", "state": "optimized geometry", "ef_ev_per_atom": -0.563, "final_energy_ev_per_atom": -4.666, "lattice_angstrom": [[-5.4253, -2.0262, 2.2392], [4.3629, -3.3220, 7.5649], [-1.2706, 8.1833, 4.3264]], "species": ["Nd", "Au", "Au", "Au", "Nd", "Pm", "Nd", "Au", "Nd", "Nd", "Nd", "Au", "Nd", "Au", "Au", "Au", "Nd", "Pm"], "fractional_positions": [[0.0900, 0.8073, 0.4092], [0.3996, 0.6168, 0.7823], [0.8996, 0.7177, 0.1168], [0.6004, 0.2177, 0.6168], [0.0900, 0.1927, 0.5908], [0.0000, 0.0000, 0.0000], [0.4100, 0.3073, 0.9092], [0.8996, 0.2823, 0.8832], [0.9100, 0.4092, 0.1927], [0.9100, 0.5908, 0.8073], [0.4100, 0.6927, 0.0908], [0.1004, 0.1168, 0.2823], [0.5900, 0.9092, 0.6927], [0.1004, 0.8832, 0.7177], [0.6004, 0.7823, 0.3832], [0.3996, 0.3832, 0.2177], [0.5900, 0.0908, 0.3073], [0.5000, 0.5000, 0.5000]]}

=====

Entry 3:
{"formula": "CaTlCd2", "functional": "GGA-PBE", "state": "optimized geometry", "polymorph_energy_ev_per_atom": 0.1618, "ef_ev_per_atom": -0.076, "final_energy_ev_per_atom": -1.626, "lattice_angstrom": [[-5.4658, -3.1658, -5.7987], [1.8305, -7.9570, 2.6187], [-4.1969, -5.3997, 0.5644]], "species": ["Tl", "Cd", "Ca", "Tl", "Cd", "Cd", "Cd", "Ca"], "fractional_positions": [[0.7500, 0.2500, 0.5000], [0.8750, 0.8964, 0.7500], [0.2500, 0.7500, 0.5000], [0.0000, 0.0000, 0.0000], [0.1036, 0.6250, 0.2500], [0.3750, 0.3536, 0.7500], [0.6464, 0.1250, 0.2500], [0.5000, 0.5000, 0.0000]]}

=====

Entry 4:
{"formula": "NiOs2Pb", "functional": "GGA-PBE", "state": "optimized geometry", "ef_ev_per_atom": 0.898, "final_energy_ev_per_atom": -7.089, "lattice_angstrom": [[5.2230, 0.0079, 0.0044], [2.2857, 4.6963, -0.0044], [-3.2108, -3.2197, 2.5698]], "species": ["Pb", "Os", "Os", "Ni"], "fractional_positions": [[0.4884, 0.4884, 0.0000], [0.0081, 0.0081, 0.0000], [0.7560, 0.2560, 0.5000], [0.2475, 0.7475, 0.5000]]}

=====

Entry 5:
{"formula": "GaP3Pt", "functional": "GGA-PBE", "state": "optimized geometry", "polymorph_energy_ev_per_atom": 0.0000, "ef_ev_per_atom": 0.782, "final_energy_ev_per_atom": -4.278, "lattice_angstrom": [[4.7517, 0.0000, 0.0000], [0.0000, 4.7517, 0.0000], [0.0000, 0.0000, 4.7517]], "species": ["P", "Pt", "P", "Ga", "P"], "fractional_positions": [[0.0000, 0.5000, 0.0000], [0.0000, 0.0000, 0.0000], [0.0000, 0.0000, 0.5000], [0.5000, 0.5000, 0.5000], [0.5000, 0.0000, 0.0000]]}

=====

Entry 6:
{"formula": "Li8CaGa4", "functional": "GGA-PBE", "state": "optimized geometry", "ef_ev_per_atom": -0.254, "final_energy_ev_per_atom": -2.517, "lattice_angstrom": [[5.4791, 0.0000, 0.0000], [2.7396, 6.5560, 0.0000], [2.7396, 0.0000, 6.5560]], "species": ["Li", "Ga", "Li", "Li", "Li", "Li", "Li", "Ca", "Li", "Ga", "Ga", "Li", "Ga"], "fractional_positions": [[0.5000, 0.7740, 0.2260], [0.5000, 0.0000, 0.5000], [0.7260, 0.7740, 0.7740], [0.0000, 0.3417, 0.6583], [0.2740, 0.2260, 0.2260], [0.6583, 0.3417, 0.3417], [0.5000, 0.2260, 0.7740], [0.0000, 0.0000, 0.0000], [0.3417, 0.6583, 0.6583], [0.5000, 0.5000, 0.0000], [0.0000, 0.0000, 0.5000], [0.0000, 0.6583, 0.3417], [0.0000, 0.5000, 0.0000]]}